w:
# KNaSr2Zn (GGA-PBE, relaxed)
# - Symmetry: P4/mmm, No. 123
# - Volume: 50.891 Å³ per atom
# - M_tot: 0.0 Bohr magnetons per cell
# - Crystal system: tetragonal
data_KNaSr2Zn
_chemical_formula_sum 'K1 Na1 Sr2 Zn1'
_cell_length_a 6.2587
_cell_length_b 6.2587
_cell_length_c 6.4959
_cell_angle_alpha 90.00
_cell_angle_beta 90.00
_cell_angle_gamma 90.00
_symmetry_space_group_name_H-M 'P 1'
_symmetry_Int_Tables_number 1
_symmetry_space_group_name_Hall 'P 1'
loop_
_atom_site_label
_atom_site_type_symbol
_atom_site_fract_x
_atom_site_fract_y
_atom_site_fract_z
_atom_site_occupancy
Sr1 Sr 0.5000 0.0000 0.0000 1
Sr2 Sr 0.0000 0.5000 0.0000 1
Na1 Na 0.5000 0.5000 0.5000 1
K1 K 0.0000 0.0000 0.5000 1
Zn1 Zn 0.0000 0.0000 0.0000 1


x:
# KNaSr2Zn (GGA-PBE, relaxed)
# - Symmetry: P4/mmm, No. 123
# - Volume: 48.264 Å³ per atom
# - M_tot: 0.0 Bohr magnetons per cell
# - Crystal system: tetragonal
data_KNaSr2Zn
_chemical_formula_sum 'K1 Na1 Sr2 Zn1'
_cell_length_a 6.3171
_cell_length_b 6.3171
_cell_length_c 6.0473
_cell_angle_alpha 90.00
_cell_angle_beta 90.00
_cell_angle_gamma 90.00
_symmetry_space_group_name_H-M 'P 1'
_symmetry_Int_Tables_number 1
_symmetry_space_group_name_Hall 'P 1'
loop_
_atom_site_label
_atom_site_type_symbol
_atom_site_fract_x
_atom_site_fract_y
_atom_site_fract_z
_atom_site_occupancy
K1 K 0.5000 0.5000 0.5000 1
Na1 Na 0.0000 0.0000 0.5000 1
Zn1 Zn 0.0000 0.0000 0.0000 1
Sr1 Sr 0.5000 0.0000 0.0000 1
Sr2 Sr 0.0000 0.5000 0.0000 1


Stability check: which of them is most stable? x.


w:
# KNaTa2 (GGA-PBE, relaxed)
# - Symmetry: Fm-3m, No. 225
# - Volume: 23.466 Å³ per atom
# - M_tot: 0.0 Bohr magnetons per cell
# - Crystal system: cubic
data_KNaTa2
_chemical_formula_sum 'K1 Na1 Ta2'
_cell_length_a 5.1012
_cell_length_b 5.1012
_cell_length_c 5.1012
_cell_angle_alpha 60.00
_cell_angle_beta 60.00
_cell_angle_gamma 60.00
_symmetry_space_group_name_H-M 'P 1'
_symmetry_Int_Tables_number 1
_symmetry_space_group_name_Hall 'P 1'
loop_
_atom_site_label
_atom_site_type_symbol
_atom_site_fract_x
_atom_site_fract_y
_atom_site_fract_z
_atom_site_occupancy
Na1 Na 0.0000 0.0000 0.0000 1
Ta1 Ta 0.7500 0.7500 0.7500 1
Ta2 Ta 0.2500 0.2500 0.2500 1
K1 K 0.5000 0.5000 0.5000 1


x:
# KNaTa2 (GGA-PBE, relaxed)
# - Symmetry: I-42d, No. 122
# - Volume: 26.805 Å³ per atom
# - M_tot: 1.9 Bohr magnetons per cell
# - Crystal system: tetragonal
data_KNaTa2
_chemical_formula_sum 'K2 Na2 Ta4'
_cell_length_a 9.0864
_cell_length_b 9.0864
_cell_length_c 6.9302
_cell_angle_alpha 49.04
_cell_angle_beta 49.04
_cell_angle_gamma 90.00
_symmetry_space_group_name_H-M 'P 1'
_symmetry_Int_Tables_number 1
_symmetry_space_group_name_Hall 'P 1'
loop_
_atom_site_label
_atom_site_type_symbol
_atom_site_fract_x
_atom_site_fract_y
_atom_site_fract_z
_atom_site_occupancy
Ta1 Ta 0.3750 0.3887 0.7500 1
Ta2 Ta 0.1387 0.6250 0.2500 1
Ta3 Ta 0.6113 0.1250 0.2500 1
Ta4 Ta 0.8750 0.8613 0.7500 1
K1 K 0.0000 0.0000 0.0000 1
K2 K 0.7500 0.2500 0.5000 1
Na1 Na 0.2500 0.7500 0.5000 1
Na2 Na 0.5000 0.5000 0.0000 1


Stability check: which of them is most stable? x.